No. 1
An optimized crystal structure of Tb12Ni6Ag, computed with GGA-PBE.

The calculation puts the energy of formation from the pure elements at -0.18 eV per atom. The energy above the most stable polymorph in this dataset comes out at 2.34 eV/f.u. The size of the total moment is 0.00 μB/f.u.

The structure belongs to space group R-3 (No. 148, hexagonal axes); the cell edges are 13.7162, 13.7162 and 8.7606 Å and the angles 90.00°, 90.00° and 120.00°. The inequivalent atoms are Tb at (0.0386, 0.2552, 0.4281), Tb at (0.0596, 0.1792, 0.8312), Ni at (0.0720, 0.5004, 0.7851) and Ag at (0.0000, 0.0000, 0.5000).



No. 2
An optimized crystal structure of PuMnBr5, computed with GGA-PBE.

The size of the total moment is 4.95 μB/f.u. The value obtained for the raw formation energy is -1.150 eV per atom.

The structure belongs to space group P-1 (No. 2); the cell edges are 7.5601, 7.5642 and 10.9033 Å and the angles 109.96°, 108.24° and 93.23°. The inequivalent atoms are Pu at (0.0000, 0.0000, 0.0000), Pu at (0.5000, 0.0000, 0.5000), Mn at (0.1395, 0.3906, 0.7510), Br at (0.1536, 0.7689, 0.4584), Br at (0.1771, 0.7485, 0.8291), Br at (0.1914, 0.3073, 0.9607), Br at (0.3229, 0.0706, 0.2492) and Br at (0.4153, 0.3462, 0.6683).



No. 3
An optimized crystal structure of BaBeAg3, computed with GGA-PBE.

The calculation puts the energy of formation from the pure elements at 1.47 eV per atom. The energy above the most stable polymorph in this dataset comes out at 7.38 eV/f.u. The size of the total moment is 0.00 μB/f.u.

The structure belongs to space group Pm-3m (No. 221); the cell edges are 6.2670, 6.2670 and 6.2670 Å and the angles 90.00°, 90.00° and 90.00°. The inequivalent atoms are Ba at (0.0000, 0.0000, 0.0000), Be at (0.5000, 0.5000, 0.5000) and Ag at (0.0000, 0.0000, 0.5000).



No. 4
An optimized crystal structure of Al2AsC, computed with GGA-PBE.

The calculation puts the energy of formation from the pure elements at 0.84 eV per atom. The energy above the most stable polymorph in this dataset comes out at 3.28 eV/f.u. The size of the total moment is 1.10 μB/f.u.

The structure belongs to space group R-3m (No. 166, hexagonal axes); the cell edges are 3.7925, 3.7925 and 19.6112 Å and the angles 90.00°, 90.00° and 120.00°. The inequivalent atoms are Al at (0.0000, 0.0000, 0.0945), As at (0.0000, 0.0000, 0.5000) and C at (0.0000, 0.0000, 0.0000).



No. 5
An optimized crystal structure of Er8Hg3Se3S, computed with GGA-PBE.

The size of the total moment is 0.00 μB/f.u. The value obtained for the raw formation energy is -1.049 eV per atom.

The structure belongs to space group C2/m (No. 12); the cell edges are 13.5541, 7.8432 and 8.6499 Å and the angles 90.00°, 121.46° and 90.00°. The inequivalent atoms are Er at (0.0050, 0.2470, 0.2684), Er at (0.2418, 0.0000, 0.7315), Er at (0.2431, 0.5000, 0.7296), Hg at (0.0000, 0.0000, 0.0000), Hg at (0.2500, 0.2500, 0.0000), Se at (0.0000, 0.5000, 0.5000), Se at (0.2500, 0.2500, 0.5000) and S at (0.0000, 0.0000, 0.5000).



No. 6
An optimized crystal structure of Tl3Zn2AgF9, computed with GGA-PBE.

The size of the total moment is 1.05 μB/f.u. The value obtained for the raw formation energy is -1.875 eV per atom.

The structure belongs to space group P-3m1 (No. 164); the cell edges are 6.0428, 6.0428 and 7.4371 Å and the angles 90.00°, 90.00° and 120.00°. The inequivalent atoms are Tl at (0.0000, 0.0000, 0.0000), Tl at (0.3333, 0.6667, 0.6615), Zn at (0.3333, 0.6667, 0.1551), Ag at (0.0000, 0.0000, 0.5000), F at (0.0000, 0.5000, 0.0000) and F at (0.1756, 0.3513, 0.3198).



Q: Which formula does entry 5 have?
A: Er8Hg3Se3S